Nd4Zr after structural relaxation, computed with GGA-PBE.

Summary:
Energy relative to the elements ... 0.50 eV per atom
Symmetry ... Pm-3m (221)

Cell: 5.7186 5.7186 5.7186 Å, 90.00 90.00 90.00°
Fractional positions:
Nd: 0.0000 0.0000 0.0000
Nd: 0.0000 0.5000 0.5000
Nd: 0.5000 0.0000 0.5000
Zr: 0.5000 0.5000 0.5000
Nd: 0.5000 0.5000 0.0000

***

NdZr4 after structural relaxation, computed with GGA-PBE.

Summary:
Energy relative to the elements ... 1.28 eV per atom
Symmetry ... Pm-3m (221)

Cell: 5.1905 5.1905 5.1905 Å, 90.00 90.00 90.00°
Fractional positions:
Zr: 0.5000 0.0000 0.5000
Nd: 0.5000 0.5000 0.5000
Zr: 0.0000 0.0000 0.0000
Zr: 0.0000 0.5000 0.5000
Zr: 0.5000 0.5000 0.0000

***

Nd5Zr after structural relaxation, computed with GGA-PBE.

Summary:
Energy relative to the elements ... 0.09 eV per atom
Symmetry ... Cmmm (65)

Cell: 5.0625 5.0563 8.0682 Å, 108.26 90.00 90.00°
Fractional positions:
Nd: 0.0000 0.6594 0.3187
Zr: 0.0000 0.0000 0.0000
Nd: 0.5000 0.5000 0.0000
Nd: 0.5000 0.1601 0.3202
Nd: 0.0000 0.3406 0.6813
Nd: 0.5000 0.8399 0.6798

***

NdZr after structural relaxation, computed with GGA-PBE.

Summary:
Energy relative to the elements ... 0.21 eV per atom
Polymorph energy (0 for the lowest one) ... 30 meV/atom
Symmetry ... P-6m2 (187)

Cell: 3.4048 3.4048 5.6092 Å, 90.00 90.00 120.00°
Fractional positions:
Nd: 0.3333 0.6667 0.5000
Zr: 0.0000 0.0000 0.0000

***

NdZr after structural relaxation, computed with GGA-PBE.

Summary:
Energy relative to the elements ... 0.18 eV per atom
Polymorph energy (0 for the lowest one) ... 0 meV/atom
Symmetry ... Pmmn (59)

Cell: 3.3631 5.5126 6.1176 Å, 90.00 90.00 90.00°
Fractional positions:
Zr: 0.7501 0.7500 0.5719
Nd: 0.2501 0.7500 0.1026
Zr: 0.2499 0.2500 0.4281
Nd: 0.7499 0.2500 0.8974

***

Ne after structural relaxation, computed with GGA-PBE.

Summary:
Energy relative to the elements ... 0.00 eV per atom
Symmetry ... Fm-3m (225)

Cell: 3.1183 3.1183 3.1183 Å, 60.00 60.00 60.00°
Fractional positions:
Ne: 0.0000 0.0000 0.0000

***

Zn6O6Ne after structural relaxation, computed with GGA-PBE.

Summary:
Formation energy from raw total energies ... -1.25 eV/atom
Symmetry ... Pm-3 (200)

Cell: 5.6847 5.6847 5.6847 Å, 90.00 90.00 90.00°
Fractional positions:
O: 0.7501 0.0000 0.5000
Zn: 0.0000 0.7495 0.5000
Zn: 0.2505 0.5000 0.0000
O: 0.5000 0.2499 0.0000
Zn: 0.5000 0.0000 0.7495
O: 0.2499 0.0000 0.5000
Zn: 0.7495 0.5000 0.0000
O: 0.0000 0.5000 0.2499
Ne: 0.0000 0.0000 0.0000
O: 0.0000 0.5000 0.7501
O: 0.5000 0.7501 0.0000
Zn: 0.0000 0.2505 0.5000
Zn: 0.5000 0.0000 0.2505

***

Si23Ne after structural relaxation, computed with GGA-PBE.

Summary:
Formation energy from raw total energies ... 0.07 eV/atom
Symmetry ... Pm-3n (223)

Cell: 10.2436 10.2436 10.2436 Å, 90.00 90.00 90.00°
Fractional positions:
Si: 0.8081 0.5000 0.3826
Si: 0.1839 0.8161 0.1839
Si: 0.6919 0.1174 0.0000
Si: 0.7500 0.0000 0.5000
Si: 0.0000 0.3081 0.1174
Si: 0.3161 0.6839 0.3161
Si: 0.8161 0.8161 0.8161
Si: 0.1919 0.5000 0.6174
Si: 0.6174 0.1919 0.5000
Si: 0.5000 0.3826 0.1919
Si: 0.0000 0.5000 0.7500
Si: 0.3081 0.1174 0.0000
Si: 0.1839 0.1839 0.1839
Ne: 0.5000 0.5000 0.5000
Si: 0.5000 0.2500 0.0000
Si: 0.5000 0.6174 0.1919
Si: 0.3081 0.8826 0.0000
Si: 0.0000 0.3081 0.8826
Si: 0.3161 0.3161 0.6839
Si: 0.8826 0.0000 0.3081
Si: 0.8161 0.8161 0.1839
Si: 0.8161 0.1839 0.8161
Si: 0.8826 0.0000 0.6919
Si: 0.5000 0.6174 0.8081
Si: 0.5000 0.7500 0.0000
Si: 0.1839 0.1839 0.8161
Si: 0.3826 0.1919 0.5000
Si: 0.8081 0.5000 0.6174
Ne: 0.0000 0.0000 0.0000
Si: 0.1839 0.8161 0.8161
Si: 0.3161 0.6839 0.6839
Si: 0.0000 0.5000 0.2500
Si: 0.3161 0.3161 0.3161
Si: 0.6919 0.8826 0.0000
Si: 0.6839 0.3161 0.6839
Si: 0.1174 0.0000 0.6919
Si: 0.1919 0.5000 0.3826
Si: 0.1174 0.0000 0.3081
Si: 0.2500 0.0000 0.5000
Si: 0.0000 0.6919 0.8826
Si: 0.6174 0.8081 0.5000
Si: 0.0000 0.6919 0.1174
Si: 0.5000 0.3826 0.8081
Si: 0.8161 0.1839 0.1839
Si: 0.6839 0.6839 0.3161
Si: 0.3826 0.8081 0.5000
Si: 0.6839 0.6839 0.6839
Si: 0.6839 0.3161 0.3161

***

Ni after structural relaxation, computed with GGA-PBE.

Summary:
Energy relative to the elements ... 0.02 eV per atom
Polymorph energy (0 for the lowest one) ... 15 meV/atom
Symmetry ... C2/m (12)

Cell: 2.4881 2.4881 6.2866 Å, 78.69 78.69 59.99°
Fractional positions:
Ni: 0.2223 0.2223 0.3326
Ni: 0.7777 0.7777 0.6674
Ni: 0.0000 0.0000 0.0000

***

Ni after structural relaxation, computed with GGA-PBE.

Summary:
Energy relative to the elements ... 0.14 eV per atom
Polymorph energy (0 for the lowest one) ... 143 meV/atom
Symmetry ... Pm-3n (223)

Cell: 4.4642 4.4642 4.4642 Å, 90.00 90.00 90.00°
Fractional positions:
Ni: 0.5000 0.5000 0.5000
Ni: 0.5000 0.2500 0.0000
Ni: 0.0000 0.0000 0.0000
Ni: 0.0000 0.5000 0.7500
Ni: 0.7500 0.0000 0.5000
Ni: 0.2500 0.0000 0.5000
Ni: 0.5000 0.7500 0.0000
Ni: 0.0000 0.5000 0.2500

***

Ni after structural relaxation, computed with GGA-PBE.

Summary:
Energy relative to the elements ... 1.21 eV per atom
Polymorph energy (0 for the lowest one) ... 1207 meV/atom
Symmetry ... Fd-3m (227)

Cell: 3.6007 3.6007 3.6007 Å, 60.00 60.00 60.00°
Fractional positions:
Ni: 0.7500 0.7500 0.7500
Ni: 0.0000 0.0000 0.0000

***

Ni after structural relaxation, computed with GGA-PBE.

Summary:
Energy relative to the elements ... 0.24 eV per atom
Polymorph energy (0 for the lowest one) ... 241 meV/atom
Symmetry ... P6_3/m (176)

Cell: 6.4461 6.4461 3.9883 Å, 90.00 90.00 120.00°
Fractional positions:
Ni: 0.4826 0.0976 0.7500
Ni: 0.3850 0.4826 0.2500
Ni: 0.8100 0.7535 0.2500
Ni: 0.0976 0.6150 0.2500
Ni: 0.7535 0.9435 0.7500
Ni: 0.6150 0.5174 0.7500
Ni: 0.5174 0.9024 0.2500
Ni: 0.9024 0.3850 0.7500
Ni: 0.9435 0.1900 0.2500
Ni: 0.2465 0.0565 0.2500
Ni: 0.0565 0.8100 0.7500
Ni: 0.1900 0.2465 0.7500

***

Ni after structural relaxation, computed with GGA-PBE.

Summary:
Energy relative to the elements ... 0.01 eV per atom
Polymorph energy (0 for the lowest one) ... 13 meV/atom
Symmetry ... P6_3/mmc (194)

Cell: 2.4866 2.4866 8.1383 Å, 90.00 90.00 120.00°
Fractional positions:
Ni: 0.3333 0.6667 0.2500
Ni: 0.0000 0.0000 0.5000
Ni: 0.6667 0.3333 0.7500
Ni: 0.0000 0.0000 0.0000

***

Ni after structural relaxation, computed with GGA-PBE.

Summary:
Energy relative to the elements ... 0.20 eV per atom
Polymorph energy (0 for the lowest one) ... 202 meV/atom
Symmetry ... I4/mmm (139)

Cell: 7.3155 7.3155 3.4994 Å, 90.00 90.00 90.00°
Fractional positions:
Ni: 0.5000 0.1713 0.5000
Ni: 0.3357 0.6643 0.0000
Ni: 0.8287 0.5000 0.5000
Ni: 0.0000 0.3287 0.0000
Ni: 0.3357 0.3357 0.0000
Ni: 0.5000 0.8287 0.5000
Ni: 0.6643 0.3357 0.0000
Ni: 0.1643 0.1643 0.5000
Ni: 0.8357 0.8357 0.5000
Ni: 0.3287 0.0000 0.0000
Ni: 0.1713 0.5000 0.5000
Ni: 0.1643 0.8357 0.5000
Ni: 0.6643 0.6643 0.0000
Ni: 0.0000 0.6713 0.0000
Ni: 0.6713 0.0000 0.0000
Ni: 0.8357 0.1643 0.5000

***

Ni after structural relaxation, computed with GGA-PBE.

Summary:
Energy relative to the elements ... 0.08 eV per atom
Polymorph energy (0 for the lowest one) ... 77 meV/atom
Symmetry ... I4/mmm (139)

Cell: 2.4378 2.4378 2.4378 Å, 105.75 105.75 117.21°
Fractional positions:
Ni: 0.0000 0.0000 0.0000

***

Ni after structural relaxation, computed with GGA-PBE.

Summary:
Energy relative to the elements ... 0.24 eV per atom
Polymorph energy (0 for the lowest one) ... 243 meV/atom
Symmetry ... I4/mcm (140)

Cell: 4.7276 4.7276 4.1878 Å, 90.00 90.00 90.00°
Fractional positions:
Ni: 0.8280 0.6720 0.0000
Ni: 0.6720 0.8280 0.5000
Ni: 0.1720 0.3280 0.0000
Ni: 0.1720 0.6720 0.5000
Ni: 0.3280 0.8280 0.0000
Ni: 0.3280 0.1720 0.5000
Ni: 0.8280 0.3280 0.5000
Ni: 0.6720 0.1720 0.0000

***

Ni after structural relaxation, computed with GGA-PBE.

Summary:
Energy relative to the elements ... 1.28 eV per atom
Polymorph energy (0 for the lowest one) ... 1281 meV/atom
Symmetry ... Im-3m (229)

Cell: 6.2692 6.2692 6.2692 Å, 90.00 90.00 90.00°
Fractional positions:
Ni: 0.0000 0.5000 0.7500
Ni: 0.5000 0.2500 0.0000
Ni: 0.7500 0.0000 0.5000
Ni: 0.7500 0.5000 0.0000
Ni: 0.5000 0.0000 0.7500
Ni: 0.5000 0.7500 0.0000
Ni: 0.0000 0.7500 0.5000
Ni: 0.0000 0.5000 0.2500
Ni: 0.5000 0.0000 0.2500
Ni: 0.2500 0.0000 0.5000
Ni: 0.0000 0.2500 0.5000
Ni: 0.2500 0.5000 0.0000

***

Ni after structural relaxation, computed with GGA-PBE.

Summary:
Energy relative to the elements ... 0.34 eV per atom
Polymorph energy (0 for the lowest one) ... 343 meV/atom
Symmetry ... Fmmm (69)

Cell: 4.4382 4.4382 3.3448 Å, 90.00 90.00 133.77°
Fractional positions:
Ni: 0.3586 0.6414 0.5000
Ni: 0.6414 0.3586 0.5000
Ni: 0.1414 0.8586 0.0000
Ni: 0.8586 0.1414 0.0000

***

Ni after structural relaxation, computed with GGA-PBE.

Summary:
Energy relative to the elements ... 0.46 eV per atom
Polymorph energy (0 for the lowest one) ... 460 meV/atom
Symmetry ... I4_1/amd (141)

Cell: 3.3700 3.3700 3.3700 Å, 97.41 97.41 137.92°
Fractional positions:
Ni: 0.8750 0.1250 0.2500
Ni: 0.1250 0.8750 0.7500

***

Ni after structural relaxation, computed with GGA-PBE.

Summary:
Energy relative to the elements ... 0.70 eV per atom
Polymorph energy (0 for the lowest one) ... 700 meV/atom
Symmetry ... Pm-3m (221)

Cell: 2.3292 2.3292 2.3292 Å, 90.00 90.00 90.00°
Fractional positions:
Ni: 0.0000 0.0000 0.0000

***

Ni after structural relaxation, computed with GGA-PBE.

Summary:
Energy relative to the elements ... 0.10 eV per atom
Polymorph energy (0 for the lowest one) ... 105 meV/atom
Symmetry ... Im-3m (229)

Cell: 2.4243 2.4243 2.4243 Å, 109.47 109.47 109.47°
Fractional positions:
Ni: 0.0000 0.0000 0.0000

***

Ni after structural relaxation, computed with GGA-PBE.

Summary:
Energy relative to the elements ... 0.54 eV per atom
Polymorph energy (0 for the lowest one) ... 543 meV/atom
Symmetry ... P4/mbm (127)

Cell: 4.5841 4.5841 2.3380 Å, 90.00 90.00 90.00°
Fractional positions:
Ni: 0.1851 0.3149 0.0000
Ni: 0.6851 0.1851 0.0000
Ni: 0.8149 0.6851 0.0000
Ni: 0.3149 0.8149 0.0000

***

Ni after structural relaxation, computed with GGA-PBE.

Summary:
Energy relative to the elements ... 0.96 eV per atom
Polymorph energy (0 for the lowest one) ... 957 meV/atom
Symmetry ... P6/mmm (191)

Cell: 3.9052 3.9052 2.3083 Å, 90.00 90.00 120.00°
Fractional positions:
Ni: 0.3333 0.6667 0.5000
Ni: 0.6667 0.3333 0.5000

***

Ni after structural relaxation, computed with GGA-PBE.

Summary:
Energy relative to the elements ... 1.28 eV per atom
Polymorph energy (0 for the lowest one) ... 1280 meV/atom
Symmetry ... I-43m (217)

Cell: 6.9437 6.9437 6.9437 Å, 90.00 90.00 90.00°
Fractional positions:
Ni: 0.1941 0.1941 0.1941
Ni: 0.3059 0.3059 0.6941
Ni: 0.1236 0.8764 0.1236
Ni: 0.3764 0.3764 0.3764
Ni: 0.8059 0.1941 0.8059
Ni: 0.1941 0.8059 0.8059
Ni: 0.8764 0.8764 0.8764
Ni: 0.3764 0.6236 0.6236
Ni: 0.6236 0.3764 0.6236
Ni: 0.6941 0.3059 0.3059
Ni: 0.8764 0.1236 0.1236
Ni: 0.8059 0.8059 0.1941
Ni: 0.6941 0.6941 0.6941
Ni: 0.6236 0.6236 0.3764
Ni: 0.1236 0.1236 0.8764
Ni: 0.3059 0.6941 0.3059

***

Ni after structural relaxation, computed with GGA-PBE.

Summary:
Energy relative to the elements ... 0.41 eV per atom
Polymorph energy (0 for the lowest one) ... 415 meV/atom
Symmetry ... P6/mmm (191)

Cell: 2.3421 2.4049 2.4049 Å, 120.00 90.00 90.00°
Fractional positions:
Ni: 0.0000 0.0000 0.0000

***

Ni after structural relaxation, computed with GGA-PBE.

Summary:
Energy relative to the elements ... 0.00 eV per atom
Polymorph energy (0 for the lowest one) ... 0 meV/atom
Symmetry ... Fm-3m (225)

Cell: 2.4876 2.4876 2.4876 Å, 120.03 120.03 89.94°
Fractional positions:
Ni: 0.0000 0.0000 0.0000